Below is a geometry-optimized CoCu2Sb structure, with properties calculated at the PBE level.

Lattice parameters (Å, degrees): 2.9770 2.9770 24.7281 90.00 90.00 120.00
Space group R-3m (No. 166, hexagonal axes)
Symmetry-distinct sites (fractional):
Co (0.0000, 0.0000, 0.0000)
Cu (0.0000, 0.0000, 0.2587)
Sb (0.0000, 0.0000, 0.5000)

Results
- Uncorrected formation energy: 550 meV per atom
- Crystal system: trigonal



Below is a geometry-optimized CsSbPtAu structure, with properties calculated at the PBE level.

Lattice parameters (Å, degrees): 4.018 4.018 14.940 90.00 90.00 90.00
Space group P4/nmm (No. 129, origin choice 2)
Symmetry-distinct sites (fractional):
Cs (0.250, 0.250, 0.205)
Sb (0.250, 0.250, 0.621)
Pt (0.250, 0.750, 0.500)
Au (0.250, 0.750, 0.000)

Results
- Uncorrected formation energy: -296 meV per atom
- Crystal system: tetragonal



Below is a geometry-optimized PrHg4 structure, with properties calculated at the PBE level.

Lattice parameters (Å, degrees): 6.473 6.315 7.165 90.00 114.43 90.00
Space group C2/m (No. 12)
Symmetry-distinct sites (fractional):
Pr (0.000, 0.000, 0.000)
Hg (0.000, 0.262, 0.500)
Hg (0.138, 0.500, 0.210)

Results
- Energy of formation: -170 meV per atom
- Crystal system: monoclinic
- Energy above the most stable polymorph in this dataset: 128 meV/atom



Below is a geometry-optimized Zr4ReSb2 structure, with properties calculated at the PBE level.

Lattice parameters (Å, degrees): 4.962 4.962 15.062 90.00 90.00 90.00
Space group I4/mmm (No. 139)
Symmetry-distinct sites (fractional):
Zr (0.000, 0.000, 0.170)
Zr (0.000, 0.500, 0.000)
Re (0.000, 0.000, 0.000)
Sb (0.000, 0.000, 0.364)

Results
- Uncorrected formation energy: 94 meV per atom
- Crystal system: tetragonal



Below is a geometry-optimized TcOs2 structure, with properties calculated at the PBE level.

Lattice parameters (Å, degrees): 9.945 2.751 6.473 90.00 103.65 90.00
Space group C2/m (No. 12)
Symmetry-distinct sites (fractional):
Tc (0.194, 0.000, 0.139)
Os (0.029, 0.500, 0.806)
Os (0.139, 0.000, 0.527)

Results
- Energy of formation: -67 meV per atom
- Crystal system: monoclinic
- Energy above the most stable polymorph in this dataset: 5 meV/atom



Below is a geometry-optimized Ho3Tm2Sc3 structure, with properties calculated at the PBE level.

Lattice parameters (Å, degrees): 4.776 4.874 19.394 90.00 90.00 90.00
Space group Immm (No. 71)
Symmetry-distinct sites (fractional):
Ho (0.000, 0.000, 0.000)
Ho (0.000, 0.500, 0.122)
Tm (0.000, 0.000, 0.249)
Sc (0.000, 0.000, 0.500)
Sc (0.000, 0.500, 0.376)

Results
- Energy of formation: 48 meV per atom
- Crystal system: orthorhombic
- Energy above the most stable polymorph in this dataset: 21 meV/atom



Below is a geometry-optimized KFe2NiCl8 structure, with properties calculated at the PBE level.

Lattice parameters (Å, degrees): 10.256 7.085 9.109 90.00 95.89 90.00
Space group C2/m (No. 12)
Symmetry-distinct sites (fractional):
K (0.000, 0.000, 0.000)
Fe (0.120, 0.500, 0.291)
Ni (0.000, 0.000, 0.500)
Cl (0.010, 0.243, 0.697)
Cl (0.195, 0.500, 0.073)
Cl (0.233, 0.000, 0.510)

Results
- Uncorrected formation energy: -908 meV per atom
- Crystal system: monoclinic



Below is a geometry-optimized MoSe structure, with properties calculated at the PBE level.

Lattice parameters (Å, degrees): 7.892 8.484 10.475 90.00 90.00 90.00
Space group Fddd (No. 70, origin choice 2)
Symmetry-distinct sites (fractional):
Mo (0.125, 0.125, 0.005)
Se (0.096, 0.375, 0.875)

Results
- Uncorrected formation energy: 17 meV per atom
- Crystal system: orthorhombic
- Energy above the most stable polymorph in this dataset: 296 meV/atom



Below is a geometry-optimized PrNd5Dy2Th structure, with properties calculated at the PBE level.

Lattice parameters (Å, degrees): 5.748 20.568 10.604 90.00 90.00 90.00
Space group Cmc2_1 (No. 36)
Symmetry-distinct sites (fractional):
Pr (0.000, 0.089, 0.000)
Nd (0.000, 0.023, 0.294)
Nd (0.000, 0.113, 0.579)
Nd (0.000, 0.207, 0.257)
Nd (0.000, 0.223, 0.867)
Nd (0.000, 0.484, 0.575)
Dy (0.000, 0.384, 0.872)
Dy (0.000, 0.386, 0.286)
Th (0.000, 0.301, 0.565)

Results
- Energy of formation: 160 meV per atom
- Crystal system: orthorhombic



Below is a geometry-optimized MgFe2Pb structure, with properties calculated at the PBE level.

Lattice parameters (Å, degrees): 4.044 4.044 8.129 90.00 90.00 90.00
Space group I-4m2 (No. 119)
Symmetry-distinct sites (fractional):
Mg (0.000, 0.000, 0.000)
Fe (0.000, 0.000, 0.500)
Fe (0.000, 0.500, 0.250)
Pb (0.000, 0.500, 0.750)

Results
- Energy of formation: 388 meV per atom
- Crystal system: tetragonal



Below is a geometry-optimized Be2SbAsRh structure, with properties calculated at the PBE level.

Lattice parameters (Å, degrees): 4.026 4.026 5.818 90.00 90.00 90.00
Space group P4/mmm (No. 123)
Symmetry-distinct sites (fractional):
Be (0.000, 0.500, 0.000)
Sb (0.000, 0.000, 0.500)
As (0.000, 0.000, 0.000)
Rh (0.500, 0.500, 0.500)

Results
- Uncorrected formation energy: 739 meV per atom
- Crystal system: tetragonal



Below is a geometry-optimized Pr6CdN structure, with properties calculated at the PBE level.

Lattice parameters (Å, degrees): 6.800 6.843 7.423 62.97 63.38 60.34
Space group P-1 (No. 2)
Symmetry-distinct sites (fractional):
Pr (0.033, 0.399, 0.274)
Pr (0.208, 0.969, 0.726)
Pr (0.397, 0.794, 0.276)
Cd (0.500, 0.500, 0.000)
N (0.000, 0.000, 0.500)

Results
- Uncorrected formation energy: -249 meV per atom
- Crystal system: triclinic



Below is a geometry-optimized PuMnGa3 structure, with properties calculated at the PBE level.

Lattice parameters (Å, degrees): 4.586 4.586 4.586 90.00 90.00 90.00
Space group Pm-3m (No. 221)
Symmetry-distinct sites (fractional):
Pu (0.000, 0.000, 0.000)
Mn (0.500, 0.500, 0.500)
Ga (0.000, 0.500, 0.500)

Results
- Energy of formation: -176 meV per atom
- Crystal system: cubic
- Energy above the most stable polymorph in this dataset: 38 meV/atom



Below is a geometry-optimized SnGe2Rh structure, with properties calculated at the PBE level.

Lattice parameters (Å, degrees): 5.867 5.867 11.800 90.00 90.00 90.00
Space group I-42d (No. 122)
Symmetry-distinct sites (fractional):
Sn (0.000, 0.000, 0.000)
Ge (0.198, 0.250, 0.625)
Rh (0.000, 0.000, 0.500)

Results
- Energy of formation: 99 meV per atom
- Crystal system: tetragonal



Below is a geometry-optimized Cu7HgF12 structure, with properties calculated at the PBE level.

Lattice parameters (Å, degrees): 7.891 7.891 7.891 90.00 90.00 90.00
Space group Im-3 (No. 204)
Symmetry-distinct sites (fractional):
Cu (0.000, 0.000, 0.500)
Cu (0.250, 0.250, 0.250)
Hg (0.000, 0.000, 0.000)
F (0.000, 0.326, 0.180)

Results
- Uncorrected formation energy: -1330 meV per atom
- Crystal system: cubic



Below is a geometry-optimized TmZr2Sc structure, with properties calculated at the PBE level.

Lattice parameters (Å, degrees): 3.2858 3.2858 31.7747 90.00 90.00 120.00
Space group R3m (No. 160, hexagonal axes)
Symmetry-distinct sites (fractional):
Tm (0.0000, 0.0000, 0.0000)
Zr (0.0000, 0.0000, 0.5820)
Zr (0.0000, 0.0000, 0.7519)
Sc (0.0000, 0.0000, 0.1668)

Results
- Energy of formation: 55 meV per atom
- Crystal system: trigonal
- Energy above the most stable polymorph in this dataset: 3 meV/atom



Below is a geometry-optimized NaAlSe3 structure, with properties calculated at the PBE level.

Lattice parameters (Å, degrees): 4.994 4.994 4.994 90.00 90.00 90.00
Space group Pm-3m (No. 221)
Symmetry-distinct sites (fractional):
Na (0.000, 0.000, 0.000)
Al (0.500, 0.500, 0.500)
Se (0.000, 0.500, 0.500)

Results
- Uncorrected formation energy: -387 meV per atom
- Crystal system: cubic
- Energy above the most stable polymorph in this dataset: 0 meV/atom



Below is a geometry-optimized CaGd2O4 structure, with properties calculated at the PBE level.

Lattice parameters (Å, degrees): 9.967 3.445 11.942 90.00 90.00 90.00
Space group Pnma (No. 62)
Symmetry-distinct sites (fractional):
Ca (0.245, 0.250, 0.145)
Gd (0.071, 0.250, 0.885)
Gd (0.089, 0.250, 0.389)
O (0.012, 0.250, 0.209)
O (0.072, 0.250, 0.585)
O (0.141, 0.750, 0.016)
O (0.221, 0.750, 0.310)

Results
- Uncorrected formation energy: -3246 meV per atom
- Crystal system: orthorhombic
- Energy above the most stable polymorph in this dataset: 25 meV/atom



Below is a geometry-optimized Pr2CdPb structure, with properties calculated at the PBE level.

Lattice parameters (Å, degrees): 7.829 7.829 7.829 90.00 90.00 90.00
Space group Fm-3m (No. 225)
Symmetry-distinct sites (fractional):
Pr (0.250, 0.250, 0.250)
Cd (0.000, 0.000, 0.000)
Pb (0.000, 0.000, 0.500)

Results
- Energy of formation: -443 meV per atom
- Crystal system: cubic
- Energy above the most stable polymorph in this dataset: 4 meV/atom



Below is a geometry-optimized Pm2PaTc2 structure, with properties calculated at the PBE level.

Lattice parameters (Å, degrees): 10.044 6.055 8.145 90.00 100.35 90.00
Space group C2/c (No. 15)
Symmetry-distinct sites (fractional):
Pm (0.151, 0.120, 0.149)
Pa (0.000, 0.388, 0.750)
Tc (0.127, 0.373, 0.513)

Results
- Energy of formation: -174 meV per atom
- Crystal system: monoclinic



Below is a geometry-optimized NdDyN structure, with properties calculated at the PBE level.

Lattice parameters (Å, degrees): 6.135 6.135 6.135 90.00 90.00 90.00
Space group F-43m (No. 216)
Symmetry-distinct sites (fractional):
Nd (0.000, 0.000, 0.000)
Dy (0.000, 0.000, 0.500)
N (0.250, 0.250, 0.750)

Results
- Uncorrected formation energy: -301 meV per atom
- Crystal system: cubic
- Energy above the most stable polymorph in this dataset: 641 meV/atom



Number 1: magnetization 0.434 μB/atom. Number 2: magnetization 0.000 μB/atom. Number 3: magnetization 0.000 μB/atom. Number 4: magnetization 0.000 μB/atom. Number 5: magnetization 0.000 μB/atom. Number 6: magnetization 0.000 μB/atom. Number 7: magnetization 0.917 μB/atom. Number 8: magnetization 0.000 μB/atom. Number 9: magnetization 0.000 μB/atom. Number 10: magnetization 1.188 μB/atom. Number 11: magnetization 0.000 μB/atom. Number 12: magnetization 0.000 μB/atom. Number 13: magnetization 1.155 μB/atom. Number 14: magnetization 0.000 μB/atom. Number 15: magnetization 0.253 μB/atom. Number 16: magnetization 0.000 μB/atom. Number 17: magnetization 0.000 μB/atom. Number 18: magnetization 2.000 μB/atom. Number 19: magnetization 0.000 μB/atom. Number 20: magnetization 0.000 μB/atom. Number 21: magnetization 0.000 μB/atom.